CeYHo2Er: optimized geometry, PBE.

Geometry as CIF:
```
data_CeYHo2Er
_chemical_formula_sum 'Ce2 Y2 Ho4 Er2'
_symmetry_space_group_name_H-M 'P m m a'
_symmetry_Int_Tables_number 51
_symmetry_space_group_name_Hall '-P 2a 2a'
_cell_length_a 5.806
_cell_length_b 7.452
_cell_length_c 7.382
_cell_angle_alpha 90.00
_cell_angle_beta 90.00
_cell_angle_gamma 90.00
loop_
_atom_site_label
_atom_site_type_symbol
_atom_site_fract_x
_atom_site_fract_y
_atom_site_fract_z
Ce1 Ce 0.000 0.000 0.000
Y1 Y 0.250 0.500 0.155
Ho1 Ho 0.250 0.288 0.674
Er1 Er 0.250 0.000 0.379
```

Calculated values
total magnetization = 3.0 μB/cell
E = -4.929 eV/atom
density of states at the Fermi level = 9.88 states/eV/f.u.
energy relative to the elements = 28.4 kJ/mol of atoms